La12Ir3N5 | PBE | optimized geometry

a = 13.845 Å, b = 13.845 Å, c = 13.845 Å
α = 109.47°, β = 109.47°, γ = 109.47°
Positions (direct):
La (0.025, 0.206, 0.121)
La (0.025, 0.319, 0.905)
La (0.086, 0.706, 0.681)
La (0.086, 0.879, 0.405)
La (0.095, 0.621, 0.414)
La (0.095, 0.975, 0.681)
La (0.121, 0.025, 0.206)
La (0.121, 0.595, 0.914)
La (0.181, 0.206, 0.586)
La (0.181, 0.475, 0.595)
La (0.206, 0.121, 0.025)
La (0.206, 0.586, 0.181)
La (0.294, 0.319, 0.914)
La (0.294, 0.475, 0.379)
La (0.319, 0.905, 0.025)
La (0.319, 0.914, 0.294)
La (0.379, 0.294, 0.475)
La (0.379, 0.586, 0.905)
La (0.405, 0.086, 0.879)
La (0.405, 0.819, 0.525)
La (0.414, 0.095, 0.621)
La (0.414, 0.819, 0.794)
La (0.475, 0.379, 0.294)
La (0.475, 0.595, 0.181)
La (0.525, 0.405, 0.819)
La (0.525, 0.621, 0.706)
La (0.586, 0.181, 0.206)
La (0.586, 0.905, 0.379)
La (0.595, 0.181, 0.475)
La (0.595, 0.914, 0.121)
La (0.621, 0.414, 0.095)
La (0.621, 0.706, 0.525)
La (0.681, 0.086, 0.706)
La (0.681, 0.095, 0.975)
La (0.706, 0.525, 0.621)
La (0.706, 0.681, 0.086)
La (0.794, 0.414, 0.819)
La (0.794, 0.879, 0.975)
La (0.819, 0.525, 0.405)
La (0.819, 0.794, 0.414)
La (0.879, 0.405, 0.086)
La (0.879, 0.975, 0.794)
La (0.905, 0.025, 0.319)
La (0.905, 0.379, 0.586)
La (0.914, 0.121, 0.595)
La (0.914, 0.294, 0.319)
La (0.975, 0.681, 0.095)
La (0.975, 0.794, 0.879)
Ir (0.125, 0.250, 0.375)
Ir (0.125, 0.375, 0.750)
Ir (0.250, 0.375, 0.125)
Ir (0.250, 0.875, 0.625)
Ir (0.375, 0.125, 0.250)
Ir (0.375, 0.750, 0.125)
Ir (0.625, 0.250, 0.875)
Ir (0.625, 0.875, 0.750)
Ir (0.750, 0.125, 0.375)
Ir (0.750, 0.625, 0.875)
Ir (0.875, 0.625, 0.250)
Ir (0.875, 0.750, 0.625)
N (0.000, 0.000, 0.000)
N (0.000, 0.000, 0.500)
N (0.000, 0.500, 0.000)
N (0.000, 0.500, 0.500)
N (0.125, 0.750, 0.875)
N (0.125, 0.875, 0.250)
N (0.250, 0.125, 0.875)
N (0.250, 0.625, 0.375)
N (0.375, 0.250, 0.625)
N (0.375, 0.625, 0.750)
N (0.500, 0.000, 0.000)
N (0.500, 0.000, 0.500)
N (0.500, 0.500, 0.000)
N (0.500, 0.500, 0.500)
N (0.625, 0.375, 0.250)
N (0.625, 0.750, 0.375)
N (0.750, 0.375, 0.625)
N (0.750, 0.875, 0.125)
N (0.875, 0.125, 0.750)
N (0.875, 0.250, 0.125)

Computed properties:
M_tot	0.00	μB per formula unit
theoretical density	7.522	g cm⁻³
space-group type	Ia-3d, No. 230
formation energy from raw total energies	-853	meV/atom